# 1
Computed, not measured: a relaxed structure of TcNiSb2I at the PBE level of DFT.

DOS(E_F) = 6.83 states/eV/f.u.
VASP energy = -4.2242 eV per atom
Energy above the most stable polymorph in this dataset = 0.000 eV per atom
Uncorrected formation energy = 964 meV per atom

Geometry as CIF:
```
data_TcNiSb2I
_chemical_formula_sum 'Tc1 Ni1 Sb2 I1'
_cell_length_a 5.029
_cell_length_b 5.029
_cell_length_c 5.807
_cell_angle_alpha 90.00
_cell_angle_beta 90.00
_cell_angle_gamma 90.00
_symmetry_space_group_name_H-M 'P 1'
_symmetry_Int_Tables_number 1
loop_
_symmetry_equiv_pos_as_xyz
'x,y,z'
loop_
_atom_site_label
_atom_site_type_symbol
_atom_site_fract_x
_atom_site_fract_y
_atom_site_fract_z
I1 I 0.000 0.000 0.500
Ni1 Ni 0.500 0.500 0.500
Tc1 Tc 0.000 0.000 0.000
Sb1 Sb 0.500 0.000 0.000
Sb2 Sb 0.000 0.500 0.000
```

# 2
Computed, not measured: a relaxed structure of MnPtPb at the PBE level of DFT.

DOS(E_F) = 1.68 states/eV/f.u.
VASP energy = -6.2703 eV per atom
Energy of formation = 10.4 kJ/mol of formula units

Geometry as CIF:
```
data_MnPtPb
_chemical_formula_sum 'Mn1 Pt1 Pb1'
_cell_length_a 5.822
_cell_length_b 5.821
_cell_length_c 3.343
_cell_angle_alpha 73.33
_cell_angle_beta 73.30
_cell_angle_gamma 33.37
_symmetry_space_group_name_H-M 'P 1'
_symmetry_Int_Tables_number 1
loop_
_symmetry_equiv_pos_as_xyz
'x,y,z'
loop_
_atom_site_label
_atom_site_type_symbol
_atom_site_fract_x
_atom_site_fract_y
_atom_site_fract_z
Mn1 Mn 0.028 0.028 0.972
Pb1 Pb 0.329 0.329 0.671
Pt1 Pt 0.643 0.643 0.357
```